Record 1
# Pr3Nd3Tl2Hg GGA-PBE relaxed
# - Total energy: -4.021 eV/atom
# - Total magnetic moment: 0.0 μB/cell
# - ΔH_f (0 K): -0.279 eV per atom
data_Pr3Nd3Tl2Hg
_chemical_formula_sum 'Pr3 Nd3 Tl2 Hg1'
_cell_length_a 9.2331
_cell_length_b 9.2331
_cell_length_c 3.8675
_cell_angle_alpha 90.00
_cell_angle_beta 90.00
_cell_angle_gamma 120.00
_space_group_name_H-M_alt 'P -6 2 m'
_space_group_IT_number 189
_space_group_name_Hall 'P -6 -2'
loop_
_atom_site_label
_atom_site_type_symbol
_atom_site_fract_x
_atom_site_fract_y
_atom_site_fract_z
Pr1 Pr 0.0000 0.2756 0.0000
Nd1 Nd 0.0000 0.6073 0.5000
Tl1 Tl 0.3333 0.6667 0.0000
Hg1 Hg 0.0000 0.0000 0.5000



Record 2
# CsCaH GGA-PBE relaxed
# - Total energy: -2.054 eV/atom
# - Total magnetic moment: 0.0 μB/cell
data_CsCaH
_chemical_formula_sum 'Cs1 Ca1 H1'
_cell_length_a 3.9062
_cell_length_b 4.3973
_cell_length_c 6.9440
_cell_angle_alpha 90.00
_cell_angle_beta 90.00
_cell_angle_gamma 90.00
_space_group_name_H-M_alt 'P m m 2'
_space_group_IT_number 25
_space_group_name_Hall 'P 2 -2'
loop_
_atom_site_label
_atom_site_type_symbol
_atom_site_fract_x
_atom_site_fract_y
_atom_site_fract_z
Cs1 Cs 0.0000 0.0000 0.0000
Ca1 Ca 0.5000 0.5000 0.4669
H1 H 0.0000 0.5000 0.2923



Record 3
# TiFe2NiH GGA-PBE relaxed
# - Total energy: -6.993 eV/atom
# - Total magnetic moment: 2.8 μB/cell
data_TiFe2NiH
_chemical_formula_sum 'Ti1 Fe2 Ni1 H1'
_cell_length_a 3.6003
_cell_length_b 3.6003
_cell_length_c 3.8736
_cell_angle_alpha 90.00
_cell_angle_beta 90.00
_cell_angle_gamma 90.00
_space_group_name_H-M_alt 'P 4/m m m'
_space_group_IT_number 123
_space_group_name_Hall '-P 4 2'
loop_
_atom_site_label
_atom_site_type_symbol
_atom_site_fract_x
_atom_site_fract_y
_atom_site_fract_z
Ti1 Ti 0.0000 0.0000 0.0000
Fe1 Fe 0.0000 0.5000 0.5000
Ni1 Ni 0.5000 0.5000 0.0000
H1 H 0.0000 0.0000 0.5000



Record 4
# Mn2CdIr GGA-PBE relaxed
# - Total energy: -6.906 eV/atom
# - Total magnetic moment: 7.6 μB/cell
# - ΔH_f (0 K): 0.122 eV per atom
data_Mn2CdIr
_chemical_formula_sum 'Mn2 Cd1 Ir1'
_cell_length_a 4.5104
_cell_length_b 4.5104
_cell_length_c 3.0527
_cell_angle_alpha 90.00
_cell_angle_beta 90.00
_cell_angle_gamma 90.00
_space_group_name_H-M_alt 'P 4/m m m'
_space_group_IT_number 123
_space_group_name_Hall '-P 4 2'
loop_
_atom_site_label
_atom_site_type_symbol
_atom_site_fract_x
_atom_site_fract_y
_atom_site_fract_z
Mn1 Mn 0.0000 0.5000 0.0000
Cd1 Cd 0.0000 0.0000 0.5000
Ir1 Ir 0.5000 0.5000 0.5000



Record 5
# SrH3Pt GGA-PBE relaxed
# - Total energy: -3.887 eV/atom
# - Total magnetic moment: 0.0 μB/cell
data_SrH3Pt
_chemical_formula_sum 'Sr2 H6 Pt2'
_cell_length_a 3.9534
_cell_length_b 3.9534
_cell_length_c 9.7431
_cell_angle_alpha 90.00
_cell_angle_beta 90.00
_cell_angle_gamma 120.00
_space_group_name_H-M_alt 'P 63/m m c'
_space_group_IT_number 194
_space_group_name_Hall '-P 6c 2c'
loop_
_atom_site_label
_atom_site_type_symbol
_atom_site_fract_x
_atom_site_fract_y
_atom_site_fract_z
Sr1 Sr 0.0000 0.0000 0.0000
H1 H 0.0000 0.0000 0.2500
H2 H 0.3333 0.6667 0.0796
Pt1 Pt 0.3333 0.6667 0.2500



Record 6
# BWSe2 GGA-PBE relaxed
# - Formation energy without anion corrections: 0.72 eV per atom
# - Total energy: -5.926 eV/atom
# - Total magnetic moment: 0.0 μB/cell
data_BWSe2
_chemical_formula_sum 'B4 W4 Se8'
_cell_length_a 5.4842
_cell_length_b 5.4842
_cell_length_c 9.3295
_cell_angle_alpha 90.00
_cell_angle_beta 90.00
_cell_angle_gamma 90.00
_space_group_name_H-M_alt 'I -4 2 d'
_space_group_IT_number 122
_space_group_name_Hall 'I -4 2bw'
loop_
_atom_site_label
_atom_site_type_symbol
_atom_site_fract_x
_atom_site_fract_y
_atom_site_fract_z
B1 B 0.0000 0.0000 0.0000
W1 W 0.0000 0.0000 0.5000
Se1 Se 0.1886 0.2500 0.1250



Record 7
# BeFeAs GGA-PBE relaxed
# - Total energy: -5.441 eV/atom
# - Total magnetic moment: 0.0 μB/cell
# - ΔH_f (0 K): 0.171 eV per atom
data_BeFeAs
_chemical_formula_sum 'Be2 Fe2 As2'
_cell_length_a 2.6591
_cell_length_b 5.5286
_cell_length_c 7.1694
_cell_angle_alpha 100.10
_cell_angle_beta 100.49
_cell_angle_gamma 90.00
_space_group_name_H-M_alt 'P -1'
_space_group_IT_number 2
_space_group_name_Hall '-P 1'
loop_
_atom_site_label
_atom_site_type_symbol
_atom_site_fract_x
_atom_site_fract_y
_atom_site_fract_z
Be1 Be 0.1911 0.4735 0.3801
Fe1 Fe 0.2899 0.1878 0.5814
As1 As 0.1269 0.0488 0.2492



Record 8
# LiHf2BiH GGA-PBE relaxed
# - Total energy: -5.986 eV/atom
# - Total magnetic moment: 0.0 μB/cell
data_LiHf2BiH
_chemical_formula_sum 'Li1 Hf2 Bi1 H1'
_cell_length_a 4.2291
_cell_length_b 4.2291
_cell_length_c 4.8051
_cell_angle_alpha 90.00
_cell_angle_beta 90.00
_cell_angle_gamma 90.00
_space_group_name_H-M_alt 'P 4/m m m'
_space_group_IT_number 123
_space_group_name_Hall '-P 4 2'
loop_
_atom_site_label
_atom_site_type_symbol
_atom_site_fract_x
_atom_site_fract_y
_atom_site_fract_z
Li1 Li 0.0000 0.0000 0.0000
Hf1 Hf 0.0000 0.5000 0.5000
Bi1 Bi 0.5000 0.5000 0.0000
H1 H 0.0000 0.0000 0.5000



Record 9
# UNiIr2 GGA-PBE relaxed
# - Total energy: -9.237 eV/atom
# - Total magnetic moment: 0.0 μB/cell
# - ΔH_f (0 K): -0.539 eV per atom
data_UNiIr2
_chemical_formula_sum 'U1 Ni1 Ir2'
_cell_length_a 4.0231
_cell_length_b 4.0231
_cell_length_c 3.9132
_cell_angle_alpha 90.00
_cell_angle_beta 90.00
_cell_angle_gamma 90.00
_space_group_name_H-M_alt 'P 4/m m m'
_space_group_IT_number 123
_space_group_name_Hall '-P 4 2'
loop_
_atom_site_label
_atom_site_type_symbol
_atom_site_fract_x
_atom_site_fract_y
_atom_site_fract_z
U1 U 0.0000 0.0000 0.0000
Ni1 Ni 0.5000 0.5000 0.0000
Ir1 Ir 0.0000 0.5000 0.5000



Question: Which of these has the highest total magnetic moment?
Answer: Mn2CdIr